No. 1
Density functional theory data (GGA-PBE) for a geometry-optimized PrHf2CoN4 structure.

Values from the calculation:
- ρ (Mg/m³) = 10.2
- ΔE_f (raw) (eV/atom) = -1.31

a = 3.2489 Å, b = 11.0400 Å, c = 11.0866 Å
α = 90.00°, β = 90.00°, γ = 90.00°
Closest atoms and distances in Å follow each position.
Space group Cmcm (No. 63)
Asymmetric unit:
Pr1 0.0000 0.1056 0.2500 x4  6 N 2.48-2.66
Hf1 0.0000 0.3670 0.0539 x8  6 N 2.14-2.30
Co1 0.0000 0.1582 0.7500 x4  4 N 1.93-1.95
N1 0.0000 0.0000 0.0000 x4  4 Hf 2.27
N2 0.0000 0.2653 0.6106 x8  1 Co 1.95, 1 Hf 2.14
N3 0.0000 0.4359 0.2500 x4  2 Co 1.93

=====

No. 2
Density functional theory data (GGA-PBE) for a geometry-optimized Hf2CoPtN structure.

Values from the calculation:
- ρ (Mg/m³) = 14.2
- ΔE_f (raw) (eV/atom) = -1.01

a = 4.4053 Å, b = 4.4053 Å, c = 3.7613 Å
α = 90.00°, β = 90.00°, γ = 90.00°
Closest atoms and distances in Å follow each position.
Space group P4/mmm (No. 123)
Asymmetric unit:
Hf1 0.0000 0.5000 0.0000 x2  2 N 2.20
Co1 0.0000 0.0000 0.5000 x1  2 N 1.88
Pt1 0.5000 0.5000 0.5000 x1  8 Hf 2.90, 4 Co 3.12
N1 0.0000 0.0000 0.0000 x1  2 Co 1.88

=====

No. 3
Density functional theory data (GGA-PBE) for a geometry-optimized PuHf2CoN4 structure.

Values from the calculation:
- ρ (Mg/m³) = 12.5
- ΔE_f (raw) (eV/atom) = -1.31

a = 3.2104 Å, b = 10.7864 Å, c = 11.0110 Å
α = 90.00°, β = 90.00°, γ = 90.00°
Closest atoms and distances in Å follow each position.
Space group Cmcm (No. 63)
Asymmetric unit:
Pu1 0.0000 0.1078 0.2500 x4  6 N 2.33-2.56
Hf1 0.0000 0.3679 0.0553 x8  6 N 2.14-2.32
Co1 0.0000 0.1580 0.7500 x4  4 N 1.92-1.99
N1 0.0000 0.0000 0.0000 x4  4 Hf 2.23
N2 0.0000 0.2701 0.6142 x8  1 Co 1.92, 1 Hf 2.14
N3 0.0000 0.4507 0.2500 x4  2 Co 1.99

=====

No. 4
Density functional theory data (GGA-PBE) for a geometry-optimized HfCoSN2 structure.

Values from the calculation:
- ρ (Mg/m³) = 8.2
- ΔE_f (raw) (eV/atom) = 0.32
- relative energy among the computed polymorphs (eV/atom) = 0.000

a = 3.7203 Å, b = 3.7203 Å, c = 4.3424 Å
α = 90.00°, β = 90.00°, γ = 90.00°
Closest atoms and distances in Å follow each position.
Space group P4/mmm (No. 123)
Asymmetric unit:
Hf1 0.0000 0.0000 0.0000 x1  4 S 2.63, 8 N 2.86
Co1 0.5000 0.5000 0.5000 x1  4 N 1.86
S1 0.5000 0.5000 0.0000 x1  2 Co 2.17
N1 0.0000 0.5000 0.5000 x2  2 Co 1.86

=====

No. 5
Density functional theory data (GGA-PBE) for a geometry-optimized HfCoSN2 structure.

Values from the calculation:
- ρ (Mg/m³) = 5.8
- ΔE_f (raw) (eV/atom) = 0.62
- relative energy among the computed polymorphs (eV/atom) = 0.305

a = 4.0691 Å, b = 4.0691 Å, c = 5.1551 Å
α = 90.00°, β = 90.00°, γ = 90.00°
Closest atoms and distances in Å follow each position.
Space group P4/mmm (No. 123)
Asymmetric unit:
Hf1 0.0000 0.0000 0.0000 x1  4 N 2.03
Co1 0.5000 0.5000 0.5000 x1  4 S 2.88
S1 0.0000 0.0000 0.5000 x1  2 Hf 2.58, 4 Co 2.88
N1 0.0000 0.5000 0.0000 x2  2 Hf 2.03

=====

No. 6
Density functional theory data (GGA-PBE) for a geometry-optimized SmHf2CoN4 structure.

Values from the calculation:
- ρ (Mg/m³) = 10.6
- ΔE_f (raw) (eV/atom) = -1.34

a = 3.2180 Å, b = 10.9507 Å, c = 11.0394 Å
α = 90.00°, β = 90.00°, γ = 90.00°
Closest atoms and distances in Å follow each position.
Space group Cmcm (No. 63)
Asymmetric unit:
Sm1 0.0000 0.1081 0.2500 x4  6 N 2.43-2.60
Hf1 0.0000 0.3676 0.0542 x8  6 N 2.14-2.31
Co1 0.0000 0.1553 0.7500 x4  4 N 1.93-1.95
N1 0.0000 0.0000 0.0000 x4  4 Hf 2.25
N2 0.0000 0.2674 0.6127 x8  1 Co 1.95, 1 Hf 2.14
N3 0.0000 0.4418 0.2500 x4  2 Co 1.93

=====

No. 7
Density functional theory data (GGA-PBE) for a geometry-optimized SrHf2CoN4 structure.

Values from the calculation:
- ρ (Mg/m³) = 9.1
- ΔE_f (raw) (eV/atom) = -1.18

a = 3.2576 Å, b = 11.1220 Å, c = 11.2348 Å
α = 90.00°, β = 90.00°, γ = 90.00°
Closest atoms and distances in Å follow each position.
Space group Cmcm (No. 63)
Asymmetric unit:
Sr1 0.0000 0.1021 0.2500 x4  6 N 2.59-2.76
Hf1 0.0000 0.3658 0.0507 x8  6 N 2.13-2.32
Co1 0.0000 0.1658 0.7500 x4  4 N 1.89-1.92
N1 0.0000 0.0000 0.0000 x4  4 Hf 2.28
N2 0.0000 0.2596 0.6066 x8  1 Co 1.92, 1 Hf 2.13
N3 0.0000 0.4207 0.2500 x4  2 Co 1.89

=====

No. 8
Density functional theory data (GGA-PBE) for a geometry-optimized Hf3TaCo2N structure.

Values from the calculation:
- ρ (Mg/m³) = 12.4
- ΔE_f (raw) (eV/atom) = -0.52

a = 4.1990 Å, b = 4.2787 Å, c = 12.6660 Å
α = 90.00°, β = 90.00°, γ = 90.00°
Closest atoms and distances in Å follow each position.
Space group Immm (No. 71)
Asymmetric unit:
Hf1 0.0000 0.0000 0.0000 x2  2 N 2.14
Hf2 0.0000 0.5000 0.1854 x4  1 N 2.35, 1 Co 2.40
Ta1 0.0000 0.0000 0.5000 x2  2 N 2.10
Co1 0.0000 0.5000 0.3751 x4  3 Hf 2.40-2.63, 2 Ta 2.66
N1 0.0000 0.5000 0.0000 x2  2 Ta 2.10, 4 Hf 2.14-2.35

=====

No. 9
Density functional theory data (GGA-PBE) for a geometry-optimized TbHf2CoN4 structure.

Values from the calculation:
- ρ (Mg/m³) = 11.0
- ΔE_f (raw) (eV/atom) = -1.36

a = 3.1924 Å, b = 10.8730 Å, c = 11.0066 Å
α = 90.00°, β = 90.00°, γ = 90.00°
Closest atoms and distances in Å follow each position.
Space group Cmcm (No. 63)
Asymmetric unit:
Tb1 0.0000 0.1104 0.2500 x4  6 N 2.39-2.55
Hf1 0.0000 0.3680 0.0546 x8  6 N 2.15-2.32
Co1 0.0000 0.1529 0.7500 x4  4 N 1.93-1.95
N1 0.0000 0.0000 0.0000 x4  4 Hf 2.23
N2 0.0000 0.2691 0.6145 x8  1 Co 1.95, 1 Hf 2.15
N3 0.0000 0.4470 0.2500 x4  2 Co 1.93

=====

No. 10
Density functional theory data (GGA-PBE) for a geometry-optimized Hf2ThCoN4 structure.

Values from the calculation:
- ρ (Mg/m³) = 11.9
- ΔE_f (raw) (eV/atom) = -1.42

a = 3.2455 Å, b = 11.0010 Å, c = 11.0213 Å
α = 90.00°, β = 90.00°, γ = 90.00°
Closest atoms and distances in Å follow each position.
Space group Cmcm (No. 63)
Asymmetric unit:
Hf1 0.0000 0.1318 0.0567 x8  6 N 2.16-2.33
Th1 0.0000 0.3939 0.2500 x4  6 N 2.42-2.58
Co1 0.0000 0.3441 0.7500 x4  4 N 1.95-1.97
N1 0.0000 0.0575 0.2500 x4  2 Co 1.95
N2 0.0000 0.2281 0.6142 x8  1 Co 1.97, 1 Hf 2.16
N3 0.0000 0.5000 0.0000 x4  4 Hf 2.26

=====

No. 11
Density functional theory data (GGA-PBE) for a geometry-optimized Hf2TiCoN structure.

Values from the calculation:
- ρ (Mg/m³) = 11.0
- ΔE_f (raw) (eV/atom) = -0.76

a = 3.4146 Å, b = 3.4146 Å, c = 12.3455 Å
α = 90.00°, β = 90.00°, γ = 90.00°
Closest atoms and distances in Å follow each position.
Space group P4/nmm (No. 129, origin choice 2)
Asymmetric unit:
Hf1 0.2500 0.2500 0.0890 x2  5 N 2.18-2.41
Hf2 0.2500 0.2500 0.7321 x2  1 N 2.23
Ti1 0.2500 0.7500 0.5000 x2  4 Ti 2.41, 4 Co 2.70
Co1 0.2500 0.2500 0.3306 x2  4 Hf 2.54, 4 Ti 2.70
N1 0.2500 0.2500 0.9127 x2  6 Hf 2.18-2.41

=====

No. 12
Density functional theory data (GGA-PBE) for a geometry-optimized HfTi2CoN structure.

Values from the calculation:
- ρ (Mg/m³) = 8.1
- ΔE_f (raw) (eV/atom) = -0.76

a = 4.0502 Å, b = 4.0502 Å, c = 4.3596 Å
α = 90.00°, β = 90.00°, γ = 90.00°
Closest atoms and distances in Å follow each position.
Space group P4/mmm (No. 123)
Asymmetric unit:
Hf1 0.0000 0.0000 0.0000 x1  2 N 2.18
Ti1 0.0000 0.5000 0.5000 x2  2 N 2.03
Co1 0.5000 0.5000 0.0000 x1  4 Hf 2.86, 8 Ti 2.98
N1 0.0000 0.0000 0.5000 x1  4 Ti 2.03, 2 Hf 2.18

=====

No. 13
Density functional theory data (GGA-PBE) for a geometry-optimized HfCoWN2 structure.

Values from the calculation:
- ρ (Mg/m³) = 11.2
- ΔE_f (raw) (eV/atom) = 1.36

a = 3.8678 Å, b = 3.8678 Å, c = 4.4645 Å
α = 90.00°, β = 90.00°, γ = 90.00°
Closest atoms and distances in Å follow each position.
Space group P4/mmm (No. 123)
Asymmetric unit:
Hf1 0.0000 0.0000 0.0000 x1  4 W 2.73, 8 N 2.95
Co1 0.5000 0.5000 0.5000 x1  4 N 1.93
W1 0.5000 0.5000 0.0000 x1  2 Co 2.23
N1 0.0000 0.5000 0.5000 x2  2 Co 1.93

=====

No. 14
Density functional theory data (GGA-PBE) for a geometry-optimized Hf2ZnCoN structure.

Values from the calculation:
- ρ (Mg/m³) = 11.3
- ΔE_f (raw) (eV/atom) = -0.63

a = 4.3974 Å, b = 4.3974 Å, c = 3.7790 Å
α = 90.00°, β = 90.00°, γ = 90.00°
Closest atoms and distances in Å follow each position.
Space group P4/mmm (No. 123)
Asymmetric unit:
Hf1 0.0000 0.5000 0.0000 x2  2 N 2.20
Zn1 0.0000 0.0000 0.5000 x1  8 Hf 2.90, 4 Co 3.11
Co1 0.5000 0.5000 0.5000 x1  2 N 1.89
N1 0.5000 0.5000 0.0000 x1  2 Co 1.89

=====

No. 15
Density functional theory data (GGA-PBE) for a geometry-optimized HfZr3Co2N structure.

Values from the calculation:
- ρ (Mg/m³) = 8.1
- ΔE_f (raw) (eV/atom) = -0.53

a = 4.3045 Å, b = 4.3954 Å, c = 12.7229 Å
α = 90.00°, β = 90.00°, γ = 90.00°
Closest atoms and distances in Å follow each position.
Space group Immm (No. 71)
Asymmetric unit:
Hf1 0.0000 0.0000 0.0000 x2  2 N 2.15
Zr1 0.0000 0.0000 0.5000 x2  2 N 2.20
Zr2 0.0000 0.5000 0.3130 x4  1 N 2.38, 1 Co 2.39
Co1 0.0000 0.5000 0.1253 x4  1 Zr 2.39
N1 0.0000 0.5000 0.5000 x2  2 Hf 2.15, 4 Zr 2.20-2.38

=====

No. 16
Density functional theory data (GGA-PBE) for a geometry-optimized NaHf2Co2 structure.

Values from the calculation:
- ρ (Mg/m³) = 9.5
- electronic total energy (eV/atom) = -7.03

a = 7.6865 Å, b = 7.6865 Å, c = 2.9588 Å
α = 90.00°, β = 90.00°, γ = 90.00°
Closest atoms and distances in Å follow each position.
Space group P4/mbm (No. 127)
Asymmetric unit:
Na1 0.0000 0.0000 0.0000 x2  4 Hf 2.95, 2 Na 2.96
Hf1 0.1437 0.3563 0.0000 x4  6 Co 2.64-2.78, 2 Na 2.95
Co1 0.1403 0.6403 0.5000 x4  6 Hf 2.64-2.78

=====

No. 17
Density functional theory data (GGA-PBE) for a geometry-optimized NaHfCoP2 structure.

Values from the calculation:
- ρ (Mg/m³) = 5.3
- electronic total energy (eV/atom) = -4.08

a = 4.6358 Å, b = 4.6358 Å, c = 4.7204 Å
α = 90.00°, β = 90.00°, γ = 90.00°
Closest atoms and distances in Å follow each position.
Space group P4/mmm (No. 123)
Asymmetric unit:
Na1 0.0000 0.0000 0.0000 x1  4 P 2.32, 2 Hf 2.36
Hf1 0.0000 0.0000 0.5000 x1  2 Na 2.36
Co1 0.5000 0.5000 0.5000 x1  4 Hf 3.28, 8 P 3.31
P1 0.0000 0.5000 0.0000 x2  2 Na 2.32

=====

No. 18
Density functional theory data (GGA-PBE) for a geometry-optimized Na3Hf2CoS6 structure.

Values from the calculation:
- ρ (Mg/m³) = 4.8
- ΔE_f (raw) (eV/atom) = -1.25

a = 6.3521 Å, b = 10.9986 Å, c = 7.0078 Å
α = 90.00°, β = 107.57°, γ = 90.00°
Closest atoms and distances in Å follow each position.
Space group C2/m (No. 12)
Asymmetric unit:
Na1 0.0000 0.0000 0.0000 x2  6 S 2.85
Na2 0.0000 0.3339 0.0000 x4  6 S 2.84-2.86
Hf1 0.0000 0.1668 0.5000 x4  6 S 2.56
Co1 0.0000 0.5000 0.5000 x2  6 S 2.55
S1 0.2377 0.3338 0.7144 x8  1 Co 2.55, 2 Hf 2.56, 3 Na 2.85-2.86
S2 0.2388 0.0000 0.7146 x4  1 Co 2.55, 2 Hf 2.56, 3 Na 2.84-2.85

=====

No. 19
Density functional theory data (GGA-PBE) for a geometry-optimized NaHfCoS3 structure.

Values from the calculation:
- ρ (Mg/m³) = 5.0
- ΔE_f (raw) (eV/atom) = -1.18

a = 7.8844 Å, b = 3.6043 Å, c = 8.7858 Å
α = 90.00°, β = 108.34°, γ = 90.00°
Closest atoms and distances in Å follow each position.
Space group P2_1/m (No. 11)
Asymmetric unit:
Na1 0.2081 0.2500 0.2385 x2  7 S 2.88-3.17
Hf1 0.3130 0.7500 0.8307 x2  6 S 2.52-2.65
Co1 0.0866 0.2500 0.5937 x2  4 S 2.25-2.30
S1 0.1006 0.2500 0.8588 x2  1 Co 2.30, 2 Hf 2.52
S2 0.2166 0.7500 0.5253 x2  3 Co 2.25-2.29
S3 0.4448 0.7500 0.1484 x2  3 Hf 2.59-2.65, 2 Na 2.88

=====

No. 20
Density functional theory data (GGA-PBE) for a geometry-optimized Na2Hf2CoS6 structure.

Values from the calculation:
- ρ (Mg/m³) = 4.8
- ΔE_f (raw) (eV/atom) = -1.23

a = 6.1966 Å, b = 10.7716 Å, c = 7.1486 Å
α = 90.00°, β = 106.67°, γ = 90.00°
Closest atoms and distances in Å follow each position.
Space group C2/m (No. 12)
Asymmetric unit:
Na1 0.0000 0.1670 0.0000 x4  6 S 2.86-2.90
Hf1 0.0000 0.3301 0.5000 x4  6 S 2.52-2.57
Co1 0.0000 0.0000 0.5000 x2  6 S 2.32-2.49
S1 0.2382 0.1611 0.7120 x8  1 Co 2.49, 2 Hf 2.52-2.55
S2 0.2401 0.0000 0.3028 x4  1 Co 2.32, 2 Hf 2.57

=====

No. 21
Density functional theory data (GGA-PBE) for a geometry-optimized Na4Hf3CoS8 structure.

Values from the calculation:
- ρ (Mg/m³) = 5.0
- ΔE_f (raw) (eV/atom) = -1.30

a = 7.3293 Å, b = 7.3293 Å, c = 20.1193 Å
α = 90.00°, β = 90.00°, γ = 120.00°
Closest atoms and distances in Å follow each position.
Space group R-3m (No. 166, hexagonal axes)
Asymmetric unit:
Na1 0.0000 0.0000 0.0000 x3  6 S 2.87
Na2 0.0000 0.5000 0.0000 x9  6 S 2.82-2.85
Hf1 0.0000 0.5000 0.5000 x9  6 S 2.56-2.58
Co1 0.0000 0.0000 0.5000 x3  6 S 2.54
S1 0.0000 0.0000 0.2404 x6  3 Hf 2.58, 3 Na 2.82
S2 0.0030 0.5015 0.2380 x18  1 Co 2.54, 2 Hf 2.56

=====

No. 22
Density functional theory data (GGA-PBE) for a geometry-optimized Na3Hf2CoSe6 structure.

Values from the calculation:
- ρ (Mg/m³) = 5.9
- ΔE_f (raw) (eV/atom) = -1.07

a = 6.6493 Å, b = 11.5199 Å, c = 7.3567 Å
α = 90.00°, β = 107.55°, γ = 90.00°
Closest atoms and distances in Å follow each position.
Space group C2/m (No. 12)
Asymmetric unit:
Na1 0.0000 0.0000 0.0000 x2  6 Se 2.98-3.00
Na2 0.0000 0.3318 0.0000 x4  6 Se 2.98-2.99
Hf1 0.0000 0.1665 0.5000 x4  6 Se 2.69
Co1 0.0000 0.5000 0.5000 x2  6 Se 2.66-2.67
Se1 0.2364 0.3351 0.7150 x8  1 Co 2.66, 2 Hf 2.69, 2 Na 2.98
Se2 0.2418 0.0000 0.7160 x4  1 Co 2.67, 2 Hf 2.69, 2 Na 2.98